# 1
The following is a DFT calculation (PBE) of an optimized crystal structure of PrErPt2.

Computed properties:
E_form, eV/f.u.: -4.86
Offset from the most stable computed form, eV per atom: 0.000

a b c (Å): 4.5612 7.1970 5.6387
angles (deg): 90.00 90.00 90.00
With the nearest neighbours (Å) after each atom.
Sites, in units of the cell vectors:
Er1 0.0000 0.0668 0.3580  7 Pt 2.88-3.02
Er2 0.5000 0.9332 0.8580  7 Pt 2.88-3.02
Pr1 0.0000 0.5699 0.1414  7 Pt 2.96-3.23
Pr2 0.5000 0.4301 0.6414  7 Pt 2.96-3.23
Pt1 0.5000 0.2733 0.1553  2 Pt 2.94, 3 Er 2.95-2.97, 4 Pr 2.96-3.12
Pt2 0.5000 0.8142 0.3453  4 Er 2.88-3.02, 2 Pt 2.94, 2 Pr 3.10
Pt3 0.0000 0.7267 0.6553  2 Pt 2.94, 3 Er 2.95-2.97, 4 Pr 2.96-3.12
Pt4 0.0000 0.1858 0.8453  4 Er 2.88-3.02, 2 Pt 2.94, 2 Pr 3.10

# 2
The following is a DFT calculation (PBE) of an optimized crystal structure of Pr3ErPt4.

Computed properties:
E_form, eV/f.u.: -9.26

a b c (Å): 5.6951 4.5982 7.2920
angles (deg): 90.00 90.72 90.00
With the nearest neighbours (Å) after each atom.
Sites, in units of the cell vectors:
Er1 0.1399 0.0000 0.3173  7 Pt 2.94-3.08
Pr1 0.6410 0.5000 0.1840  7 Pt 2.92-3.08
Pr2 0.8611 0.5000 0.6796  7 Pt 2.94-3.20
Pr3 0.3595 0.0000 0.8162  7 Pt 2.99-3.17
Pt1 0.1513 0.5000 0.0582  5 Pr 2.92-3.20, 2 Pt 2.94, 2 Er 2.98
Pt2 0.6558 0.0000 0.4509  2 Er 2.94-3.08, 2 Pt 2.99, 5 Pr 3.01-3.17
Pt3 0.3385 0.5000 0.5312  5 Pr 2.94-3.15, 2 Pt 2.99, 2 Er 2.99
Pt4 0.8529 0.0000 0.9626  2 Pt 2.94, 6 Pr 2.99-3.09, 1 Er 3.04

# 3
The following is a DFT calculation (PBE) of an optimized crystal structure of Pr3Er3Te2Pt.

Computed properties:
Offset from the most stable computed form, eV per atom: 0.166

a b c (Å): 8.6592 8.6592 3.9514
angles (deg): 90.00 90.00 120.00
With the nearest neighbours (Å) after each atom.
Sites, in units of the cell vectors:
Er1 0.5958 0.0000 0.0000  4 Te 3.29, 1 Pt 3.50, 6 Pr 3.57-3.64
Er2 0.4042 0.4042 0.0000  4 Te 3.29, 1 Pt 3.50, 6 Pr 3.57-3.64
Er3 0.0000 0.5958 0.0000  4 Te 3.29, 1 Pt 3.50, 6 Pr 3.57-3.64
Pr1 0.2522 0.0000 0.5000  2 Pt 2.94, 2 Te 3.29
Pr2 0.0000 0.2522 0.5000  2 Pt 2.94, 2 Te 3.29
Pr3 0.7478 0.7478 0.5000  2 Pt 2.94, 2 Te 3.29
Pt1 0.0000 0.0000 0.0000  6 Pr 2.94
Te1 0.6667 0.3333 0.5000  6 Er 3.29, 3 Pr 3.29
Te2 0.3333 0.6667 0.5000  6 Er 3.29, 3 Pr 3.29

# 4
The following is a DFT calculation (PBE) of an optimized crystal structure of Pr3Er3Te2Pt.

Computed properties:
Offset from the most stable computed form, eV per atom: 0.000

a b c (Å): 8.4924 8.4924 4.0805
angles (deg): 90.00 90.00 120.00
With the nearest neighbours (Å) after each atom.
Sites, in units of the cell vectors:
Er1 0.2382 0.0000 0.5000  2 Pt 2.87
Er2 0.0000 0.2382 0.5000  2 Pt 2.87
Er3 0.7618 0.7618 0.5000  2 Pt 2.87
Pr1 0.5948 0.0000 0.0000  4 Te 3.29, 1 Pt 3.44, 6 Er 3.62-3.65
Pr2 0.4052 0.4052 0.0000  4 Te 3.29, 1 Pt 3.44, 6 Er 3.62-3.65
Pr3 0.0000 0.5948 0.0000  4 Te 3.29, 1 Pt 3.44, 6 Er 3.62-3.65
Pt1 0.0000 0.0000 0.0000  6 Er 2.87
Te1 0.6667 0.3333 0.5000  6 Pr 3.29, 3 Er 3.31
Te2 0.3333 0.6667 0.5000  6 Pr 3.29, 3 Er 3.31

# 5
The following is a DFT calculation (PBE) of an optimized crystal structure of PrErTl2Pt4.

Computed properties:
E_tot, eV per atom: -5.505

a b c (Å): 4.6646 4.6646 9.1045
angles (deg): 90.00 90.00 120.00
With the nearest neighbours (Å) after each atom.
Sites, in units of the cell vectors:
Er1 0.0000 0.0000 0.0000  8 Pt 3.02-3.09
Pr1 0.6667 0.3333 0.5000  8 Pt 3.07-3.18
Pt1 0.6667 0.3333 0.1508  1 Pt 2.75, 3 Tl 2.83, 3 Er 3.02
Pt2 0.0000 0.0000 0.3389  3 Tl 2.83, 1 Pt 2.93, 3 Pr 3.07, 1 Er 3.09
Pt3 0.0000 0.0000 0.6611  3 Tl 2.83, 1 Pt 2.93, 3 Pr 3.07, 1 Er 3.09
Pt4 0.6667 0.3333 0.8492  1 Pt 2.75, 3 Tl 2.83, 3 Er 3.02
Tl1 0.3333 0.6667 0.2446  6 Pt 2.83
Tl2 0.3333 0.6667 0.7554  6 Pt 2.83

# 6
The following is a DFT calculation (PBE) of an optimized crystal structure of PrErPu.

Computed properties:
E_form, eV/f.u.: 2.43
Offset from the most stable computed form, eV per atom: 0.000

a b c (Å): 5.3662 5.3662 5.3662
angles (deg): 60.00 60.00 60.00
With the nearest neighbours (Å) after each atom.
Sites, in units of the cell vectors:
Er1 0.0000 0.0000 0.0000  4 Pu 3.29, 4 Pr 3.29
Pr1 0.2500 0.2500 0.2500  4 Er 3.29
Pu1 0.7500 0.7500 0.7500  4 Er 3.29

# 7
The following is a DFT calculation (PBE) of an optimized crystal structure of PrEr3S6.

Computed properties:
E_tot, eV per atom: -6.413

a b c (Å): 11.2756 11.0376 3.9718
angles (deg): 90.00 90.00 108.71
With the nearest neighbours (Å) after each atom.
Sites, in units of the cell vectors:
Er1 0.0019 0.1796 0.2500  7 S 2.68-2.90
Er2 0.5867 0.6614 0.2500  6 S 2.64-2.77
Er3 0.3328 0.9397 0.2500  6 S 2.66-2.76
Er4 0.6672 0.0603 0.7500  6 S 2.66-2.76
Er5 0.4133 0.3386 0.7500  6 S 2.64-2.77
Er6 0.9981 0.8204 0.7500  7 S 2.68-2.90
Pr1 0.1950 0.5488 0.2500  8 S 2.91-3.04
Pr2 0.8050 0.4512 0.7500  8 S 2.91-3.04
S1 0.7718 0.2350 0.2500  3 Er 2.76-2.85, 2 Pr 3.03
S2 0.2514 0.3023 0.2500  3 Er 2.64-2.70
S3 0.5932 0.4180 0.2500  3 Er 2.71-2.77, 2 Pr 3.04
S4 0.9637 0.6199 0.2500  2 Er 2.90, 3 Pr 2.91-2.95
S5 0.5602 0.8955 0.2500  4 Er 2.69-2.76
S6 0.1116 0.9778 0.2500  4 Er 2.66-2.87
S7 0.8884 0.0222 0.7500  4 Er 2.66-2.87
S8 0.4398 0.1045 0.7500  4 Er 2.69-2.76
S9 0.0363 0.3801 0.7500  2 Er 2.90, 3 Pr 2.91-2.95
S10 0.4068 0.5820 0.7500  3 Er 2.71-2.77, 2 Pr 3.04
S11 0.7486 0.6977 0.7500  3 Er 2.64-2.70
S12 0.2282 0.7650 0.7500  3 Er 2.76-2.85, 2 Pr 3.03

# 8
The following is a DFT calculation (PBE) of an optimized crystal structure of PrEr2S3.

Computed properties:
E_tot, eV per atom: -6.362

a b c (Å): 3.9125 3.9125 9.7927
angles (deg): 90.00 90.00 120.00
With the nearest neighbours (Å) after each atom.
Sites, in units of the cell vectors:
Er1 0.6667 0.3333 0.3382  6 S 2.71-2.76
Er2 0.3333 0.6667 0.6618  6 S 2.71-2.76
Pr1 0.0000 0.0000 0.0000  6 S 2.90
S1 0.3333 0.6667 0.1856  3 Er 2.71, 3 Pr 2.90
S2 0.0000 0.0000 0.5000  6 Er 2.76
S3 0.6667 0.3333 0.8144  3 Er 2.71, 3 Pr 2.90

no.,ρ (g/cm3)
1,12.529
2,11.917
3,8.897
4,8.957
5,14.492
6,8.391
7,5.924
8,7.312